## BeAu2Se (GGA-PBE)

Data for crystalline BeAu2Se at its relaxed geometry.

```
data_BeAu2Se
_chemical_formula_sum 'Be2 Au4 Se2'
_cell_length_a 3.9762
_cell_length_b 3.9762
_cell_length_c 8.6073
_cell_angle_alpha 90.00
_cell_angle_beta 90.00
_cell_angle_gamma 90.00
_space_group_name_H-M_alt 'I 4/m m m'
_space_group_IT_number 139
_space_group_name_Hall '-I 4 2'
loop_
_atom_site_label
_atom_site_type_symbol
_atom_site_fract_x
_atom_site_fract_y
_atom_site_fract_z
Be1 Be 0.0000 0.0000 0.0000
Au1 Au 0.0000 0.5000 0.2500
Se1 Se 0.0000 0.0000 0.5000
```

- ΔE_f (raw): 0.30 eV/atom
- Magnetization: 0.00 Bohr magnetons per cell
- E_tot: -3.1430 eV per atom